Compound: Co5Te4Cl2O12
Source: the Open Quantum Materials Database
Functional: PBE with a Hubbard U
Structure: optimized geometry

Cell lengths 10.060, 10.060, 16.305 Å; angles 123.72, 123.72, 30.31 degrees
Sites, in units of the cell vectors:
1 O 0.314 0.540 0.430
2 Te 0.186 0.549 0.855
3 O 0.934 0.905 0.143
4 Co 0.787 0.228 0.617
5 O 0.775 0.465 0.749
6 O 0.796 0.116 0.354
7 Co 0.772 0.213 0.883
8 O 0.576 0.555 0.368
9 Cl 0.572 0.913 0.099
10 Co 0.231 0.769 0.750
11 Co 0.877 0.309 0.476
12 O 0.686 0.460 0.570
13 O 0.460 0.686 0.070
14 Te 0.144 0.551 0.120
15 O 0.204 0.884 0.646
16 Te 0.449 0.856 0.380
17 Cl 0.428 0.087 0.901
18 Te 0.814 0.451 0.145
19 O 0.751 0.041 0.474
20 O 0.249 0.959 0.526
21 O 0.041 0.751 0.974
22 Co 0.123 0.691 0.524
23 O 0.535 0.225 0.751
24 Co 0.691 0.123 0.024
25 O 0.905 0.934 0.643
26 Te 0.451 0.814 0.645
27 O 0.116 0.796 0.854
28 O 0.959 0.249 0.026
29 O 0.884 0.204 0.146
30 O 0.225 0.535 0.251
31 Co 0.228 0.787 0.117
32 O 0.066 0.095 0.857
33 Co 0.213 0.772 0.383
34 O 0.540 0.314 0.930
35 Te 0.856 0.449 0.880
36 Co 0.309 0.877 0.976
37 Cl 0.913 0.572 0.599
38 O 0.465 0.775 0.249
39 O 0.555 0.576 0.868
40 Te 0.551 0.144 0.620
41 Cl 0.087 0.428 0.401
42 O 0.424 0.445 0.632
43 O 0.095 0.066 0.357
44 Te 0.549 0.186 0.355
45 Co 0.769 0.231 0.250
46 O 0.445 0.424 0.132

Values from the calculation:
- total moment (μB/atom) = 0.65
- total energy (eV/atom) = -5.434
- SG = C2/c